Record 1
A plane-wave DFT calculation with GGA-PBE was carried out for a geometry-optimized Ce2CdAg structure.

Cell and atoms, written as POSCAR:
```
Ce2CdAg
1.0
-1.9701 -2.7045 -3.7393
5.9085 -1.5971 -1.9579
-3.0727 -3.8951 4.4361
Ce Ag Cd
4 2 2
Cartesian
1.1673 -1.7760 -1.0139
-2.8607 -5.7377 0.6070
-0.3017 -6.4207 -0.2473
3.7264 -2.4590 -1.8682
2.3867 -4.5740 0.3674
-1.5210 -3.6227 -1.6285
1.4364 -4.6810 -2.4212
-0.5708 -3.5156 1.1601
```

Record 2
A plane-wave DFT calculation with GGA-PBE was carried out for a geometry-optimized Ce3Cd8Ag3 structure.

Cell and atoms, written as POSCAR:
```
Ce3Cd8Ag3
1.0
4.7955 0.0000 1.2670
1.8825 8.1766 2.5838
0.2527 0.6335 8.7528
Cd Ag Ce
8 3 3
Cartesian
1.2297 2.0344 5.0545
4.3048 5.3820 3.1242
3.5722 7.8081 5.8971
2.6258 3.4281 9.4793
3.3584 1.0019 6.7064
5.7009 6.7757 7.5490
5.2390 4.6380 9.2973
1.6916 4.1721 3.3062
0.5026 1.7901 7.8068
1.6326 7.0200 3.5297
2.3978 0.0000 0.6335
2.7027 6.9306 9.1884
4.2280 1.8795 3.4151
3.4653 4.4050 6.3017
```

Record 3
A plane-wave DFT calculation with GGA-PBE was carried out for a geometry-optimized CeCd5Ag7 structure.

Cell and atoms, written as POSCAR:
```
CeCd5Ag7
1.0
-3.2297 4.6534 0.2591
-6.6203 -1.3206 3.2391
1.1321 3.8898 6.2970
Ag Cd Ce
7 5 1
Cartesian
-2.1756 5.0798 5.7406
-3.8964 0.5112 4.2948
-2.0813 1.8962 2.0457
-4.0336 3.9116 3.5610
-4.7117 3.2858 6.3467
-1.5835 2.0657 5.2071
-6.5343 2.1503 4.0214
-3.2729 -0.6319 1.6147
0.5356 1.9278 3.1169
-1.0772 4.2515 3.2463
-6.6299 5.3325 7.7222
-4.8857 1.6918 1.7441
-3.2432 4.6409 0.3145
```

Record 4
A plane-wave DFT calculation with GGA-PBE was carried out for a geometry-optimized Ce2CdAg5 structure.

Cell and atoms, written as POSCAR:
```
Ce2CdAg5
1.0
4.3875 0.0000 0.0000
-2.1937 8.5787 0.0000
0.0000 0.0000 10.0693
Ce Ag Cd
4 10 2
Cartesian
0.0000 0.0000 5.0346
2.1937 5.2418 7.5519
0.0000 3.3369 2.5173
0.0000 0.0000 0.0000
0.0000 3.3554 6.1287
0.0000 6.6232 2.5173
2.1937 2.4265 4.7414
2.1937 2.4265 0.2932
2.1937 5.2233 1.0941
0.0000 6.1522 5.3279
0.0000 3.3554 8.9752
2.1937 1.9556 7.5519
0.0000 6.1522 9.7760
2.1937 5.2233 3.9406
0.0000 7.8063 7.5519
2.1937 0.7724 2.5173
```

Summary:
As for the energy above the most stable polymorph in this dataset: 0.00 eV per formula unit.

Record 5
A plane-wave DFT calculation with GGA-PBE was carried out for a geometry-optimized Ce2CdAg structure.

Cell and atoms, written as POSCAR:
```
Ce2CdAg
1.0
-2.1278 1.2391 3.1315
-3.3641 -0.9545 -1.9082
0.2618 -6.1177 2.5986
Ag Cd Ce
1 1 2
Cartesian
-2.7460 0.1423 0.6117
-2.6151 -2.9165 1.9110
0.2031 -4.7470 2.0164
0.0586 -1.3707 0.5822
```

Record 6
A plane-wave DFT calculation with GGA-PBE was carried out for a geometry-optimized CeCd2Ag structure.

Cell and atoms, written as POSCAR:
```
CeCd2Ag
1.0
5.0297 0.0000 0.0000
0.0000 4.4555 0.0000
0.0000 0.0000 4.4555
Ag Cd Ce
1 2 1
Cartesian
2.5149 0.0000 0.0000
0.0000 0.0000 2.2278
0.0000 2.2278 0.0000
2.5149 2.2278 2.2278
```

Record 7
A plane-wave DFT calculation with GGA-PBE was carried out for a geometry-optimized CeCd2Ag structure.

Cell and atoms, written as POSCAR:
```
CeCd2Ag
1.0
-3.4041 -3.3063 -1.8606
2.4130 -1.0054 4.3847
-1.5521 4.4816 1.8890
Cd Ag Ce
2 1 1
Cartesian
0.0799 2.9714 5.1009
-3.0440 0.9521 0.4098
-1.0610 -1.7922 1.6578
-0.3505 1.2332 1.9641
```

Record 8
A plane-wave DFT calculation with GGA-PBE was carried out for a geometry-optimized CeCdCuAg structure.

Cell and atoms, written as POSCAR:
```
CeCdCuAg
1.0
4.9289 0.0000 0.0000
2.4644 4.2685 0.0000
2.4644 1.4228 4.0244
Cu Cd Ag Ce
1 1 1 1
Cartesian
0.0000 0.0000 0.0000
7.3933 4.2685 3.0183
4.9289 2.8457 2.0122
2.4644 1.4228 1.0061
```

Record 9
A plane-wave DFT calculation with GGA-PBE was carried out for a geometry-optimized CeErCdAg structure.

Cell and atoms, written as POSCAR:
```
CeErCdAg
1.0
-0.8859 1.8953 4.8408
-4.8406 -0.2365 2.0792
-0.9997 -3.3070 3.9843
Ag Er Ce Cd
1 1 1 1
Cartesian
-1.6815 -0.4120 2.7261
-3.3631 -0.8241 5.4522
0.0000 0.0000 0.0000
-5.0446 -1.2361 8.1783
```

Record 10
A plane-wave DFT calculation with GGA-PBE was carried out for a geometry-optimized CeEuCdAg structure.

Cell and atoms, written as POSCAR:
```
CeEuCdAg
1.0
5.4138 0.0000 0.0000
2.7069 4.6885 0.0000
2.7069 1.5628 4.4204
Eu Cd Ag Ce
1 1 1 1
Cartesian
5.4138 3.1257 2.2102
8.1208 4.6885 3.3153
2.7069 1.5628 1.1051
0.0000 0.0000 0.0000
```

Record 11
A plane-wave DFT calculation with GGA-PBE was carried out for a geometry-optimized CeCdGaAg structure.

Cell and atoms, written as POSCAR:
```
CeCdGaAg
1.0
-0.1860 4.7292 1.5850
-4.3946 2.3373 0.3690
-1.8971 1.0528 4.4950
Ga Cd Ce Ag
1 1 1 1
Cartesian
-3.2388 4.0597 3.2244
-1.6194 2.0298 1.6122
-4.8583 6.0895 4.8367
0.0000 0.0000 0.0000
```

Record 12
A plane-wave DFT calculation with GGA-PBE was carried out for a geometry-optimized CeCdAgGe structure.

Cell and atoms, written as POSCAR:
```
CeCdAgGe
1.0
-2.7577 0.7192 -4.1184
-1.3049 -3.9038 -2.8532
-4.7670 -1.5311 -0.1206
Ag Cd Ce Ge
1 1 1 1
Cartesian
-6.6222 -3.5368 -5.3191
0.0000 0.0000 0.0000
-4.4148 -2.3579 -3.5461
-2.2074 -1.1789 -1.7730
```

Record 13
A plane-wave DFT calculation with GGA-PBE was carried out for a geometry-optimized CeCdAgIr structure.

Cell and atoms, written as POSCAR:
```
CeCdAgIr
1.0
4.8930 0.0000 0.0000
2.4465 4.2375 0.0000
2.4465 1.4125 3.9951
Cd Ce Ir Ag
1 1 1 1
Cartesian
7.3395 4.2375 2.9963
2.4465 1.4125 0.9988
4.8930 2.8250 1.9976
0.0000 0.0000 0.0000
```

Record 14
A plane-wave DFT calculation with GGA-PBE was carried out for a geometry-optimized LaCeCdAg structure.

Cell and atoms, written as POSCAR:
```
LaCeCdAg
1.0
-1.5140 -4.9230 1.7043
2.4467 -4.4236 -1.9695
3.3060 -2.9091 3.1687
Ag Ce La Cd
1 1 1 1
Cartesian
1.0597 -3.0639 0.7259
0.0000 0.0000 0.0000
2.1193 -6.1279 1.4518
3.1790 -9.1918 2.1777
```

Record 15
A plane-wave DFT calculation with GGA-PBE was carried out for a geometry-optimized LiCeCdAg structure.

Cell and atoms, written as POSCAR:
```
LiCeCdAg
1.0
4.9857 0.0000 0.0000
2.4929 4.3178 0.0000
2.4929 1.4393 4.0708
Cd Li Ce Ag
1 1 1 1
Cartesian
7.4786 4.3178 3.0531
4.9857 2.8785 2.0354
2.4929 1.4393 1.0177
0.0000 0.0000 0.0000
```

Record 16
A plane-wave DFT calculation with GGA-PBE was carried out for a geometry-optimized LiCeCd2Ag4 structure.

Cell and atoms, written as POSCAR:
```
LiCeCd2Ag4
1.0
-0.2378 4.7685 -0.8536
-3.7878 2.5658 1.6100
2.5795 3.8818 7.1879
Li Cd Ag Ce
1 2 4 1
Cartesian
-0.7231 5.6081 3.9721
-1.0812 8.4134 5.9643
-0.3650 2.8028 1.9800
1.0404 3.3178 4.4656
0.5495 6.0744 6.2229
-1.9956 5.1417 1.7213
-2.4865 7.8983 3.4786
0.0000 0.0000 0.0000
```

Record 17
A plane-wave DFT calculation with GGA-PBE was carried out for a geometry-optimized Li2CeCdAg4 structure.

Cell and atoms, written as POSCAR:
```
Li2CeCdAg4
1.0
-0.9272 -3.2551 3.1226
1.6543 -4.2615 -0.5556
7.6984 -0.2115 5.4610
Cd Ag Li Ce
1 4 2 1
Cartesian
4.2128 -3.8641 4.0140
6.5085 -3.1577 5.4320
1.9170 -4.5704 2.5960
3.4324 -6.6843 4.2380
4.9931 -1.0439 3.7900
5.9346 -5.9144 5.7835
2.4909 -1.8137 2.2445
0.0000 0.0000 0.0000
```

Record 18
A plane-wave DFT calculation with GGA-PBE was carried out for a geometry-optimized Li2CeCd4Ag structure.

Cell and atoms, written as POSCAR:
```
Li2CeCd4Ag
1.0
4.7165 0.0000 0.0000
2.3582 4.0846 0.0000
2.3582 1.3615 9.2296
Cd Ce Li Ag
4 1 2 1
Cartesian
4.7165 2.7231 7.4646
2.3582 1.3615 5.7488
7.0747 4.0846 3.4808
4.7165 2.7231 1.7649
0.0000 0.0000 0.0000
7.0747 4.0846 6.4979
2.3582 1.3615 2.7316
4.7165 2.7231 4.6148
```

Record 19
A plane-wave DFT calculation with GGA-PBE was carried out for a geometry-optimized CeMgCdAg structure.

Cell and atoms, written as POSCAR:
```
CeMgCdAg
1.0
5.1115 0.0000 0.0000
2.5558 4.4267 0.0000
2.5558 1.4756 4.1735
Ag Cd Mg Ce
1 1 1 1
Cartesian
2.5558 1.4756 1.0434
7.6673 4.4267 3.1302
5.1115 2.9511 2.0868
0.0000 0.0000 0.0000
```

Record 20
A plane-wave DFT calculation with GGA-PBE was carried out for a geometry-optimized CeMg2Cd4Ag structure.

Cell and atoms, written as POSCAR:
```
CeMg2Cd4Ag
1.0
-3.5255 2.2883 -2.4505
-3.2134 -2.5646 -2.6014
-7.5886 -0.6583 5.4734
Mg Cd Ag Ce
2 4 1 1
Cartesian
-10.7194 -0.6982 0.2810
-3.6082 -0.2364 0.1406
-5.4128 -0.2817 -2.1351
-8.9147 -0.6528 2.5566
-8.7989 -0.4946 -2.2920
-5.5286 -0.4400 2.7135
-7.1638 -0.4673 0.2108
0.0000 0.0000 0.0000
```

Record 21
A plane-wave DFT calculation with GGA-PBE was carried out for a geometry-optimized CeMg2CdAg2 structure.

Cell and atoms, written as POSCAR:
```
CeMg2CdAg2
1.0
4.8378 0.0000 0.0000
-2.4189 4.1896 0.0000
0.0000 0.0000 6.6587
Ag Mg Ce Cd
2 2 1 1
Cartesian
0.0000 2.7931 1.5923
2.4189 1.3965 5.0664
0.0000 2.7931 4.5396
2.4189 1.3965 2.1191
0.0000 0.0000 0.0000
0.0000 0.0000 3.3294
```

Record 22
A plane-wave DFT calculation with GGA-PBE was carried out for a geometry-optimized CeMgCd2Ag2 structure.

Cell and atoms, written as POSCAR:
```
CeMgCd2Ag2
1.0
4.8442 0.0000 0.0000
-2.4221 4.1952 0.0000
0.0000 0.0000 6.8068
Ce Cd Ag Mg
1 2 2 1
Cartesian
0.0000 0.0000 0.0000
0.0000 2.7968 4.9084
2.4221 1.3984 1.8983
0.0000 2.7968 1.8409
2.4221 1.3984 4.9659
0.0000 0.0000 3.4034
```

Record 23
A plane-wave DFT calculation with GGA-PBE was carried out for a geometry-optimized CeMgCd2Ag4 structure.

Cell and atoms, written as POSCAR:
```
CeMgCd2Ag4
1.0
4.8806 0.0000 0.0000
2.4403 4.2267 0.0000
2.4403 1.4089 8.1774
Cd Mg Ag Ce
2 1 4 1
Cartesian
2.4403 1.4089 2.0105
7.3209 4.2267 6.1670
4.8806 2.8178 4.0887
7.3209 4.2267 3.2125
4.8806 2.8178 1.3471
2.4403 1.4089 4.9650
4.8806 2.8178 6.8303
0.0000 0.0000 0.0000
```

Record 24
A plane-wave DFT calculation with GGA-PBE was carried out for a geometry-optimized NaCeCdAg structure.

Cell and atoms, written as POSCAR:
```
NaCeCdAg
1.0
5.2524 0.0000 0.0000
2.6262 4.5487 0.0000
2.6262 1.5162 4.2886
Ce Na Cd Ag
1 1 1 1
Cartesian
0.0000 0.0000 0.0000
5.2524 3.0325 2.1443
7.8786 4.5487 3.2164
2.6262 1.5162 1.0721
```

Record 25
A plane-wave DFT calculation with GGA-PBE was carried out for a geometry-optimized CeNdCdAg structure.

Cell and atoms, written as POSCAR:
```
CeNdCdAg
1.0
-3.2831 0.8053 4.1741
-4.5725 -2.7900 0.3977
-0.5182 -3.7826 3.7780
Cd Nd Ag Ce
1 1 1 1
Cartesian
-6.2804 -4.3255 6.2624
0.0000 0.0000 0.0000
-2.0935 -1.4418 2.0875
-4.1869 -2.8836 4.1749
```

Record 26
A plane-wave DFT calculation with GGA-PBE was carried out for a geometry-optimized CeCdAgPb structure.

Cell and atoms, written as POSCAR:
```
CeCdAgPb
1.0
-2.1434 4.7688 -0.1092
-4.7275 0.6938 -2.1254
-4.1039 1.0926 3.0515
Cd Ce Pb Ag
1 1 1 1
Cartesian
-5.4874 3.2776 0.4085
0.0000 0.0000 0.0000
-8.2312 4.9164 0.6127
-2.7437 1.6388 0.2042
```

Record 27
A plane-wave DFT calculation with GGA-PBE was carried out for a geometry-optimized CeCdAgPd structure.

Cell and atoms, written as POSCAR:
```
CeCdAgPd
1.0
4.9614 0.0000 0.0000
2.4807 4.2967 0.0000
2.4807 1.4322 4.0510
Pd Ce Ag Cd
1 1 1 1
Cartesian
4.9614 2.8645 2.0255
2.4807 1.4322 1.0127
0.0000 0.0000 0.0000
7.4421 4.2967 3.0382
```

Number 1: size of the total moment 1.853 Bohr magnetons per cell, ΔH_f (0 K) -0.142 eV per atom. Number 2: size of the total moment 3.727 Bohr magnetons per cell, ΔH_f (0 K) -0.159 eV per atom. Number 3: size of the total moment 1.139 Bohr magnetons per cell, ΔH_f (0 K) -0.047 eV per atom. Number 4: size of the total moment 4.827 Bohr magnetons per cell, ΔH_f (0 K) -0.065 eV per atom. Number 5: size of the total moment 2.134 Bohr magnetons per cell, ΔH_f (0 K) -0.081 eV per atom. Number 6: size of the total moment 1.107 Bohr magnetons per cell, ΔH_f (0 K) -0.047 eV per atom. Number 7: size of the total moment 0.817 Bohr magnetons per cell, ΔH_f (0 K) -0.196 eV per atom. Number 8: size of the total moment 0.796 Bohr magnetons per cell, ΔH_f (0 K) -0.111 eV per atom. Number 9: size of the total moment 0.966 Bohr magnetons per cell, ΔH_f (0 K) -0.173 eV per atom. Number 10: size of the total moment 6.212 Bohr magnetons per cell, ΔH_f (0 K) -0.174 eV per atom. Number 11: size of the total moment 0.697 Bohr magnetons per cell, ΔH_f (0 K) -0.295 eV per atom. Number 12: size of the total moment 0.994 Bohr magnetons per cell, ΔH_f (0 K) -0.279 eV per atom. Number 13: size of the total moment 0.016 Bohr magnetons per cell, ΔH_f (0 K) -0.224 eV per atom. Number 14: size of the total moment 1.537 Bohr magnetons per cell, ΔH_f (0 K) -0.160 eV per atom. Number 15: size of the total moment 0.693 Bohr magnetons per cell, ΔH_f (0 K) -0.103 eV per atom. Number 16: size of the total moment 0.900 Bohr magnetons per cell, ΔH_f (0 K) -0.152 eV per atom. Number 17: size of the total moment 1.026 Bohr magnetons per cell, ΔH_f (0 K) -0.095 eV per atom. Number 18: size of the total moment 1.208 Bohr magnetons per cell, ΔH_f (0 K) -0.135 eV per atom. Number 19: size of the total moment 0.816 Bohr magnetons per cell, ΔH_f (0 K) -0.200 eV per atom. Number 20: size of the total moment 1.054 Bohr magnetons per cell, ΔH_f (0 K) -0.119 eV per atom. Number 21: size of the total moment 1.076 Bohr magnetons per cell, ΔH_f (0 K) -0.155 eV per atom. Number 22: size of the total moment 1.120 Bohr magnetons per cell, ΔH_f (0 K) -0.154 eV per atom. Number 23: size of the total moment 0.901 Bohr magnetons per cell, ΔH_f (0 K) -0.134 eV per atom. Number 24: size of the total moment 1.250 Bohr magnetons per cell, ΔH_f (0 K) -0.022 eV per atom. Number 25: size of the total moment 1.479 Bohr magnetons per cell, ΔH_f (0 K) -0.159 eV per atom. Number 26: size of the total moment 1.052 Bohr magnetons per cell, ΔH_f (0 K) -0.182 eV per atom. Number 27: size of the total moment 0.719 Bohr magnetons per cell, ΔH_f (0 K) -0.361 eV per atom.